Entry 1:
The following is a PBE calculation of crystalline RbCd3Pt at its relaxed geometry, from Alexandria.

Geometry as extended XYZ:
```
10
Lattice="5.2446 0.0000 0.0000 0.0000 5.2446 0.0000 2.6223 2.6223 13.0625" Properties=species:S:1:pos:R:3 pbc="T T T"
Rb 0.0000 0.0000 0.0000
Rb 2.6223 5.2446 6.5312
Pt 5.2446 2.6223 7.8536
Pt 5.2446 2.6223 5.2089
Cd 1.2906 5.2446 3.4347
Cd 2.6223 6.5763 9.6278
Cd 2.6223 3.9129 9.6278
Cd 3.9540 5.2446 3.4347
Cd 2.6223 2.6223 4.2415
Cd 5.2446 5.2446 8.8210
```

## Properties
M_tot   0.000 μB/atom
DFT total energy   -17.821 eV per cell
Density of states at the Fermi level   5.4 states/eV per cell
ρ   5.71 g/cm3
Distance to the lowest polymorph of the same formula   419 meV/atom

Entry 2:
The following is a PBE calculation of crystalline BTeBr at its relaxed geometry, from Alexandria.

Geometry as extended XYZ:
```
12
Lattice="-6.3031 4.2251 -1.1535 -1.5226 -1.4546 2.9918 5.5416 10.4204 7.8867" Properties=species:S:1:pos:R:3 pbc="T T T"
Te 1.4974 8.5582 4.9234
Te -4.3713 6.2655 3.0584
Te -0.2497 10.5699 7.2494
Te -1.4448 0.9880 4.2188
B -5.6492 4.4437 3.7593
B 1.3492 8.8607 7.2320
B -0.1669 2.8097 3.5180
B -0.1014 10.2674 4.9407
Br -3.3048 8.5802 6.9632
Br -0.7821 4.5814 4.0671
Br 3.0306 9.0939 8.2002
Br -3.5120 4.1261 0.2195
```

## Properties
Formation energy from raw total energies   -0.04 eV/atom
M_tot   0.000 μB/atom
DFT total energy   -46.427 eV per cell
ρ   3.64 g/cm3

Entry 3:
The following is a PBE calculation of crystalline Ba3Tl4Pb4 at its relaxed geometry, from Alexandria.

Geometry as extended XYZ:
```
11
Lattice="5.0953 0.0000 -1.2675 -1.0408 7.4089 -4.1842 -0.1576 0.8028 10.2417" Properties=species:S:1:pos:R:3 pbc="T T T"
Ba 0.4718 1.1375 1.8967
Ba 3.4250 7.0743 2.8933
Ba -0.5204 3.7045 -2.0921
Tl 1.4458 1.4639 5.8122
Tl 2.8753 3.7275 0.6836
Tl 2.4510 6.7478 -1.0221
Tl 1.0215 4.4843 4.1064
Pb 0.2833 5.6422 1.1390
Pb 3.6135 2.5696 3.6510
Pb 1.6959 6.0627 -4.0577
Pb 2.3585 1.3462 -1.3940
```

## Properties
M_tot   0.000 μB/atom
DFT total energy   -34.112 eV per cell
Density of states at the Fermi level   4.7 states/eV per cell
ρ   8.47 g/cm3
Distance to the lowest polymorph of the same formula   0 meV/atom

Entry 4:
The following is a PBE calculation of crystalline Ca2AlMo at its relaxed geometry, from Alexandria.

Geometry as extended XYZ:
```
8
Lattice="-1.4789 7.9014 1.6741 -7.6565 -0.8296 -2.8481 -5.4797 2.8004 2.0789" Properties=species:S:1:pos:R:3 pbc="T T T"
Mo 0.0000 0.0000 0.0000
Mo -5.7631 7.1188 1.5830
Ca -3.2560 5.5598 1.2153
Ca -6.3354 1.1443 -1.0563
Ca -7.5113 4.7548 1.1280
Ca -12.1274 8.2855 0.5229
Al -4.5677 3.5359 -0.5870
Al -8.8519 2.7533 -0.6781
```

## Properties
M_tot   0.430 μB/atom
DFT total energy   -30.703 eV per cell
Density of states at the Fermi level   6.8 states/eV per cell
ρ   3.44 g/cm3

Entry 5:
The following is a PBE calculation of crystalline Na2In2Hg5 at its relaxed geometry, from Alexandria.

Geometry as extended XYZ:
```
18
Lattice="4.9223 0.0000 -1.1102 -0.9026 8.5625 -4.0016 0.0754 0.2591 11.8010" Properties=species:S:1:pos:R:3 pbc="T T T"
Na 0.1392 4.5520 6.3615
Na 3.6877 6.8144 -0.8616
Na 0.5952 0.2708 8.3612
Na 4.1343 2.5331 1.1403
In -0.8106 7.6901 -3.5939
In 2.1018 3.4088 -2.1482
In 1.6903 7.8247 1.7485
In 2.1364 3.5434 3.7505
Hg 2.9629 5.3363 7.4115
Hg 0.8647 6.0234 -1.9086
Hg 3.4180 1.0550 9.4115
Hg 1.3122 1.7421 0.0931
Hg 2.1113 6.6087 4.6912
Hg 2.1673 0.4722 2.8114
Hg 3.0193 2.3274 6.5890
Hg 1.2593 4.7535 0.9136
Hg 0.0441 1.4045 5.2729
Hg 4.2335 5.6857 2.2254
```

## Properties
M_tot   0.000 μB/atom
DFT total energy   -20.720 eV per cell
Density of states at the Fermi level   6.5 states/eV per cell
ρ   8.43 g/cm3
Distance to the lowest polymorph of the same formula   0 meV/atom

Entry 6:
The following is a PBE calculation of crystalline BeOs2 at its relaxed geometry, from Alexandria.

Geometry as extended XYZ:
```
12
Lattice="-0.6926 2.3214 4.7463 -0.8477 -4.7737 2.2111 5.2151 -0.4676 0.9897" Properties=species:S:1:pos:R:3 pbc="T T T"
Be 0.0000 0.0000 0.0000
Be -0.7701 -1.2262 3.4787
Be 2.2613 0.9269 2.8680
Be 2.1837 -2.6207 1.6004
Os 0.8259 -1.7572 4.8672
Os 2.8490 -1.1628 3.0799
Os 2.5641 -4.0151 3.2338
Os 1.1108 1.0951 4.7133
Os 0.4114 0.0282 2.1417
Os 3.2635 -2.9482 5.8054
Os 3.5484 -0.0959 5.6515
Os 0.1265 -2.8241 2.2956
```

## Properties
M_tot   0.000 μB/atom
DFT total energy   -96.639 eV per cell
Density of states at the Fermi level   11.9 states/eV per cell
ρ   17.10 g/cm3

Entry 7:
The following is a PBE calculation of crystalline LaBeAg3 at its relaxed geometry, from Alexandria.

Geometry as extended XYZ:
```
5
Lattice="4.6914 0.0000 0.0000 0.0000 4.6914 0.0000 0.0000 0.0000 4.6914" Properties=species:S:1:pos:R:3 pbc="T T T"
Be 0.0000 0.0000 0.0000
Ag 0.0000 2.3457 0.0000
Ag 0.0000 0.0000 2.3457
Ag 2.3457 0.0000 0.0000
La 2.3457 2.3457 2.3457
```

## Properties
M_tot   0.000 μB/atom
DFT total energy   -17.431 eV per cell
Density of states at the Fermi level   2.4 states/eV per cell
ρ   7.58 g/cm3
Distance to the lowest polymorph of the same formula   0 meV/atom

Entry 8:
The following is a PBE calculation of crystalline BeCoI3 at its relaxed geometry, from Alexandria.

Geometry as extended XYZ:
```
5
Lattice="5.2970 0.0000 0.0000 0.0000 5.2970 0.0000 0.0000 0.0000 5.2970" Properties=species:S:1:pos:R:3 pbc="T T T"
I 0.0000 2.6485 0.0000
I 0.0000 0.0000 2.6485
I 2.6485 0.0000 0.0000
Be 2.6485 2.6485 2.6485
Co 0.0000 0.0000 0.0000
```

## Properties
Formation energy from raw total energies   0.76 eV/atom
M_tot   0.227 μB/atom
DFT total energy   -11.678 eV per cell
Density of states at the Fermi level   6.8 states/eV per cell
ρ   5.01 g/cm3
Distance to the lowest polymorph of the same formula   52 meV/atom

Entry 9:
The following is a PBE calculation of crystalline TbEr2F at its relaxed geometry, from Alexandria.

Geometry as extended XYZ:
```
4
Lattice="-2.6647 0.6137 -2.3220 -3.4044 -0.0184 1.1308 -1.4862 9.1967 1.3652" Properties=species:S:1:pos:R:3 pbc="T T T"
F -3.7776 4.8960 0.0870
Tb 0.0000 0.0000 0.0000
Er -1.6762 6.0111 0.7413
Er -5.8790 3.7810 -0.5673
```

## Properties
Formation energy from raw total energies   -0.84 eV/atom
M_tot   0.000 μB/atom
DFT total energy   -18.977 eV per cell
Density of states at the Fermi level   6.9 states/eV per cell
ρ   8.31 g/cm3

Entry 10:
The following is a PBE calculation of crystalline FeTePb2 at its relaxed geometry, from Alexandria.

Geometry as extended XYZ:
```
4
Lattice="5.3067 0.0000 0.0000 2.6533 4.5957 0.0000 2.6533 1.5319 4.3329" Properties=species:S:1:pos:R:3 pbc="T T T"
Fe 5.3067 3.0638 2.1664
Pb 0.0000 0.0000 0.0000
Pb 2.6533 1.5319 1.0832
Te 7.9600 4.5957 3.2497
```

## Properties
Formation energy from raw total energies   0.54 eV/atom
M_tot   0.779 μB/atom
DFT total energy   -16.843 eV per cell
Density of states at the Fermi level   5.8 states/eV per cell
ρ   9.39 g/cm3

Entry 11:
The following is a PBE calculation of crystalline ZrTcTe2I at its relaxed geometry, from Alexandria.

Geometry as extended XYZ:
```
5
Lattice="5.6206 0.0000 0.0000 0.0000 5.6206 0.0000 0.0000 0.0000 5.6956" Properties=species:S:1:pos:R:3 pbc="T T T"
I 0.0000 0.0000 2.8478
Te 0.0000 2.8103 0.0000
Te 2.8103 0.0000 0.0000
Tc 2.8103 2.8103 2.8478
Zr 0.0000 0.0000 0.0000
```

## Properties
Formation energy from raw total energies   0.65 eV/atom
M_tot   1.058 μB/atom
DFT total energy   -23.513 eV per cell
Density of states at the Fermi level   4.5 states/eV per cell
ρ   5.27 g/cm3
Distance to the lowest polymorph of the same formula   0 meV/atom

> Among the records above, which one has the highest M_tot?

ZrTcTe2I

> Which of these has the highest M_tot?

ZrTcTe2I

> The highest DFT total energy belongs to which entry?

BeCoI3

> Which value of M_tot does entry 8 give?

0.227 μB/atom